NiOsRh2 | meta-GGA SCAN | single point on PBEsol structure

The space group is I4/mmm (139). The total moment comes out at 0.00 μB per cell. The density of states at the Fermi level comes out at 4.11 states/eV/f.u. The raw total energy comes out at -38.832 eV/atom. The value obtained for the relative energy among the computed polymorphs is 19 meV per atom.

Lattice parameters (Å, degrees): 3.6996 3.6996 4.5787 113.83 113.83 90.00
Last column: nearest neighbours and their distance in Å.
Positions (direct):
Os (0.0000, 0.0000, 0.0000)  4 Ni 2.62, 8 Rh 2.64
Ni (0.5000, 0.5000, 0.0000)  4 Os 2.62, 8 Rh 2.64
Rh (0.2500, 0.7500, 0.5000)  4 Rh 2.62, 4 Ni 2.64, 4 Os 2.64
Rh (0.7500, 0.2500, 0.5000)  4 Rh 2.62, 4 Ni 2.64, 4 Os 2.64